Entry from the Alexandria database: a relaxed Ba12As3Pt5 crystal (PBE).

Results
* crystal system: cubic
* formation energy: -0.64 eV per atom

The structure in CIF format:
```
data_Ba12As3Pt5
_symmetry_space_group_name_H-M 'P 1'
_symmetry_Int_Tables_number 1
_cell_length_a 16.419
_cell_length_b 16.419
_cell_length_c 16.419
_cell_angle_alpha 109.47
_cell_angle_beta 109.47
_cell_angle_gamma 109.47
loop_
_symmetry_equiv_pos_as_xyz
'x,y,z'
loop_
_atom_site_label
_atom_site_type_symbol
_atom_site_fract_x
_atom_site_fract_y
_atom_site_fract_z
_atom_site_occupancy
Ba1 Ba 0.043 0.218 0.130 1
Ba2 Ba 0.043 0.325 0.913 1
Ba3 Ba 0.087 0.630 0.412 1
Ba4 Ba 0.087 0.957 0.675 1
Ba5 Ba 0.088 0.718 0.675 1
Ba6 Ba 0.088 0.870 0.413 1
Ba7 Ba 0.130 0.043 0.218 1
Ba8 Ba 0.130 0.587 0.912 1
Ba9 Ba 0.175 0.218 0.588 1
Ba10 Ba 0.175 0.457 0.587 1
Ba11 Ba 0.218 0.130 0.043 1
Ba12 Ba 0.218 0.588 0.175 1
Ba13 Ba 0.282 0.325 0.912 1
Ba14 Ba 0.282 0.457 0.370 1
Ba15 Ba 0.325 0.912 0.282 1
Ba16 Ba 0.325 0.913 0.043 1
Ba17 Ba 0.370 0.282 0.457 1
Ba18 Ba 0.370 0.588 0.913 1
Ba19 Ba 0.412 0.087 0.630 1
Ba20 Ba 0.412 0.825 0.782 1
Ba21 Ba 0.413 0.088 0.870 1
Ba22 Ba 0.413 0.825 0.543 1
Ba23 Ba 0.457 0.370 0.282 1
Ba24 Ba 0.457 0.587 0.175 1
Ba25 Ba 0.543 0.413 0.825 1
Ba26 Ba 0.543 0.630 0.718 1
Ba27 Ba 0.587 0.175 0.457 1
Ba28 Ba 0.587 0.912 0.130 1
Ba29 Ba 0.588 0.175 0.218 1
Ba30 Ba 0.588 0.913 0.370 1
Ba31 Ba 0.630 0.412 0.087 1
Ba32 Ba 0.630 0.718 0.543 1
Ba33 Ba 0.675 0.087 0.957 1
Ba34 Ba 0.675 0.088 0.718 1
Ba35 Ba 0.718 0.543 0.630 1
Ba36 Ba 0.718 0.675 0.088 1
Ba37 Ba 0.782 0.412 0.825 1
Ba38 Ba 0.782 0.870 0.957 1
Ba39 Ba 0.825 0.543 0.413 1
Ba40 Ba 0.825 0.782 0.412 1
Ba41 Ba 0.870 0.413 0.088 1
Ba42 Ba 0.870 0.957 0.782 1
Ba43 Ba 0.912 0.130 0.587 1
Ba44 Ba 0.912 0.282 0.325 1
Ba45 Ba 0.913 0.043 0.325 1
Ba46 Ba 0.913 0.370 0.588 1
Ba47 Ba 0.957 0.675 0.087 1
Ba48 Ba 0.957 0.782 0.870 1
As1 As 0.125 0.250 0.375 1
As2 As 0.125 0.375 0.750 1
As3 As 0.250 0.375 0.125 1
As4 As 0.250 0.875 0.625 1
As5 As 0.375 0.125 0.250 1
As6 As 0.375 0.750 0.125 1
As7 As 0.625 0.250 0.875 1
As8 As 0.625 0.875 0.750 1
As9 As 0.750 0.125 0.375 1
As10 As 0.750 0.625 0.875 1
As11 As 0.875 0.625 0.250 1
As12 As 0.875 0.750 0.625 1
Pt1 Pt 0.000 0.000 0.000 1
Pt2 Pt 0.000 0.000 0.500 1
Pt3 Pt 0.000 0.500 0.000 1
Pt4 Pt 0.000 0.500 0.500 1
Pt5 Pt 0.125 0.750 0.875 1
Pt6 Pt 0.125 0.875 0.250 1
Pt7 Pt 0.250 0.125 0.875 1
Pt8 Pt 0.250 0.625 0.375 1
Pt9 Pt 0.375 0.250 0.625 1
Pt10 Pt 0.375 0.625 0.750 1
Pt11 Pt 0.500 0.000 0.000 1
Pt12 Pt 0.500 0.000 0.500 1
Pt13 Pt 0.500 0.500 0.000 1
Pt14 Pt 0.500 0.500 0.500 1
Pt15 Pt 0.625 0.375 0.250 1
Pt16 Pt 0.625 0.750 0.375 1
Pt17 Pt 0.750 0.375 0.625 1
Pt18 Pt 0.750 0.875 0.125 1
Pt19 Pt 0.875 0.125 0.750 1
Pt20 Pt 0.875 0.250 0.125 1
```